1.
MgTaH: relaxed, GGA-PBE.

## Properties
- N(E_F): 1.20 states/eV per cell
- Electronic total energy: -16.584 eV per formula unit

abc: 2.9509 4.8422 5.8818
angles: 91.41 98.88 90.29
Closest atoms and distances in Å follow each position.
Space group P1 (No. 1)
Symmetry-distinct sites (fractional):
Mg  0.0000  0.0000  0.0000 x1  2 H 2.14-2.23
Mg  0.1610  0.4989  0.7227 x1  1 H 2.00
Ta  0.4742  0.9925  0.5020 x1  1 H 1.89
Ta  0.6631  0.5157  0.2630 x1  4 H 1.89-1.95
H  0.1069  0.5684  0.0532 x1  2 Ta 1.92-1.95, 2 Mg 2.00-2.14, 1 H 2.11
H  0.1894  0.2703  0.3125 x1  3 Ta 1.89-1.95



2.
Pr2NpN: relaxed, GGA-PBE.

## Properties
- N(E_F): 28.78 states/eV per cell
- Formation energy without anion corrections: -0.15 eV per atom
- Electronic total energy: -31.440 eV per formula unit

abc: 3.5157 3.5157 29.5316
angles: 90.00 90.00 120.00
Closest atoms and distances in Å follow each position.
Space group R-3m (No. 166, hexagonal axes)
Symmetry-distinct sites (fractional):
Pr  0.0000  0.0000  0.1177 x6  3 N 2.49
Np  0.0000  0.0000  0.0000 x3  2 Pr 3.48, 6 Np 3.52
N  0.0000  0.0000  0.5000 x3  6 Pr 2.49